! GGA-PBE Gd2AlPb, optimized geometry; values from VASP
! Space-group type ... R-3m (166)
! Total magnetic moment ... 14.3 μB/cell
! Formation enthalpy at 0 K ... -0.051 eV per atom
&SYSTEM
  ibrav = 0, nat = 4, ntyp = 3
/
ATOMIC_SPECIES
Pb 207.20 Pb.upf
Gd 157.25 Gd.upf
Al 26.98 Al.upf
ATOMIC_POSITIONS crystal
Pb 0.000 0.000 0.000
Gd 0.098 0.098 0.706
Gd 0.902 0.902 0.294
Al 0.500 0.500 0.500
CELL_PARAMETERS angstrom
3.557 0.000 0.000
1.779 3.081 0.000
1.779 1.027 10.930



! GGA-PBE Pa2SnPN5, optimized geometry; values from VASP
! Space-group type ... P4/mbm (127)
! VASP energy ... -151.3 eV for the cell shown
! Total magnetic moment ... 0.0 μB/cell
&SYSTEM
  ibrav = 0, nat = 18, ntyp = 4
/
ATOMIC_SPECIES
Pa 231.04 Pa.upf
Sn 118.71 Sn.upf
P 30.97 P.upf
N 14.01 N.upf
ATOMIC_POSITIONS crystal
Pa 0.500 0.684 0.184
Pa 0.500 0.184 0.316
Pa 0.500 0.816 0.684
Pa 0.500 0.316 0.816
Sn 0.000 0.500 0.500
Sn 0.000 0.000 0.000
P 0.000 0.000 0.500
P 0.000 0.500 0.000
N 0.500 0.500 0.500
N 0.500 0.000 0.000
N 0.237 0.130 0.630
N 0.237 0.870 0.370
N 0.237 0.370 0.130
N 0.237 0.630 0.870
N 0.763 0.130 0.630
N 0.763 0.630 0.870
N 0.763 0.870 0.370
N 0.763 0.370 0.130
CELL_PARAMETERS angstrom
5.379 0.000 0.000
0.000 6.712 0.000
0.000 0.000 6.712



! GGA-PBE Ge6Te8Pb, optimized geometry; values from VASP
! Space-group type ... R-3 (148)
! VASP energy ... -57.0 eV for the cell shown
! Total magnetic moment ... 0.0 μB/cell
&SYSTEM
  ibrav = 0, nat = 15, ntyp = 3
/
ATOMIC_SPECIES
Ge 72.64 Ge.upf
Te 127.60 Te.upf
Pb 207.20 Pb.upf
ATOMIC_POSITIONS crystal
Ge 0.627 0.397 0.845
Ge 0.397 0.845 0.627
Ge 0.845 0.627 0.397
Ge 0.373 0.603 0.155
Ge 0.603 0.155 0.373
Ge 0.155 0.373 0.603
Te 0.723 0.723 0.723
Te 0.277 0.277 0.277
Te 0.639 0.872 0.198
Te 0.872 0.198 0.639
Te 0.198 0.639 0.872
Te 0.361 0.128 0.802
Te 0.128 0.802 0.361
Te 0.802 0.361 0.128
Pb 0.000 0.000 0.000
CELL_PARAMETERS angstrom
7.826 0.673 0.695
0.429 7.843 0.695
0.429 0.442 7.861



! GGA-PBE Na2SrTc, optimized geometry; values from VASP
! Space-group type ... Fm-3m (225)
! Polymorph energy (0 for the lowest one) ... 0.000 eV/f.u.
! Total magnetic moment ... 2.6 μB/cell
! Formation enthalpy at 0 K ... 0.922 eV per atom
&SYSTEM
  ibrav = 0, nat = 4, ntyp = 3
/
ATOMIC_SPECIES
Sr 87.62 Sr.upf
Tc 98.00 Tc.upf
Na 22.99 Na.upf
ATOMIC_POSITIONS crystal
Sr 0.000 0.000 0.000
Tc 0.500 0.500 0.500
Na 0.250 0.250 0.250
Na 0.750 0.750 0.750
CELL_PARAMETERS angstrom
-3.041 0.493 4.480
-4.626 -2.818 0.470
-0.326 -4.121 3.532



! GGA-PBE In3W, optimized geometry; values from VASP
! Space-group type ... I4/mmm (139)
! Polymorph energy (0 for the lowest one) ... 0.426 eV/f.u.
! Total magnetic moment ... 0.9 μB/cell
! Formation enthalpy at 0 K ... 0.578 eV per atom
&SYSTEM
  ibrav = 0, nat = 4, ntyp = 2
/
ATOMIC_SPECIES
In 114.82 In.upf
W 183.84 W.upf
ATOMIC_POSITIONS crystal
In 0.750 0.250 0.500
In 0.500 0.500 0.000
In 0.250 0.750 0.500
W 0.000 0.000 0.000
CELL_PARAMETERS angstrom
-1.315 2.651 -4.592
-5.102 1.952 0.015
4.195 0.267 3.489



! GGA-PBE NdSmY2Er5, optimized geometry; values from VASP
! Space-group type ... I4/mcm (140)
! Total magnetic moment ... 0.0 μB/cell
! Formation enthalpy at 0 K ... 0.292 eV per atom
&SYSTEM
  ibrav = 0, nat = 18, ntyp = 4
/
ATOMIC_SPECIES
Nd 144.24 Nd.upf
Sm 150.36 Sm.upf
Y 88.91 Y.upf
Er 167.26 Er.upf
ATOMIC_POSITIONS crystal
Nd 0.250 0.750 0.500
Nd 0.750 0.250 0.500
Sm 0.250 0.250 0.500
Sm 0.750 0.750 0.500
Y 0.117 0.383 0.000
Y 0.617 0.117 0.000
Y 0.383 0.883 0.000
Y 0.883 0.617 0.000
Er 0.931 0.431 0.272
Er 0.659 0.159 0.728
Er 0.069 0.569 0.728
Er 0.159 0.069 0.728
Er 0.569 0.659 0.728
Er 0.841 0.931 0.272
Er 0.431 0.341 0.272
Er 0.341 0.841 0.272
Er 0.500 0.500 0.000
Er 0.000 0.000 0.000
CELL_PARAMETERS angstrom
8.744 0.000 0.000
0.000 8.744 0.000
-4.372 -4.372 7.569